Entry 1:
Material: LiZrCr
Method: DFT, PBE-GGA
State: relaxed

a b c (Å): 7.237 7.237 7.237
angles (deg): 158.37 158.37 30.78
Sites, in units of the cell vectors:
1 Cr 0.999 0.999 0.000
2 Li 0.347 0.347 0.000
3 Zr 0.654 0.654 0.000

## Properties
Energy above the most stable polymorph in this dataset: 194 meV per atom
V: 51 Å³/cell
E_tot: -6.12 eV/atom
Magnetic moment: 0.0 Bohr magnetons per cell

Entry 2:
Material: Ca2MnGa12
Method: DFT, PBE-GGA
State: relaxed

a b c (Å): 5.951 5.951 16.438
angles (deg): 90.00 90.00 90.00
Each line ends with the local moment (μB).
Sites, in units of the cell vectors:
1 Ca 0.500 0.000 0.252  -0.01
2 Ca 0.000 0.500 0.252  -0.01
3 Ca 0.000 0.500 0.748  -0.01
4 Ca 0.500 0.000 0.748  -0.01
5 Mn 0.500 0.000 0.000  2.74
6 Mn 0.000 0.500 0.000  2.74
7 Ga 0.500 0.500 0.809  0.01
8 Ga 0.000 0.000 0.809  0.01
9 Ga 0.750 0.750 0.909  -0.04
10 Ga 0.250 0.750 0.909  -0.04
11 Ga 0.000 0.000 0.341  -0.01
12 Ga 0.250 0.750 0.091  -0.04
13 Ga 0.820 0.320 0.570  0.00
14 Ga 0.500 0.500 0.341  -0.01
15 Ga 0.250 0.250 0.909  -0.04
16 Ga 0.750 0.750 0.091  -0.04
17 Ga 0.320 0.180 0.570  0.00
18 Ga 0.680 0.180 0.430  0.00
19 Ga 0.000 0.000 0.659  -0.01
20 Ga 0.180 0.320 0.430  0.00
21 Ga 0.250 0.250 0.091  -0.04
22 Ga 0.820 0.680 0.430  0.00
23 Ga 0.680 0.820 0.570  0.00
24 Ga 0.000 0.000 0.191  0.01
25 Ga 0.180 0.680 0.570  0.00
26 Ga 0.500 0.500 0.659  -0.01
27 Ga 0.750 0.250 0.909  -0.04
28 Ga 0.500 0.500 0.191  0.01
29 Ga 0.320 0.820 0.430  0.00
30 Ga 0.750 0.250 0.091  -0.04

## Properties
V: 582 Å³/cell
E_tot: -3.54 eV/atom
Magnetic moment: 5.2 Bohr magnetons per cell

Entry 3:
Material: Ca2ZrCd
Method: DFT, PBE-GGA
State: relaxed

a b c (Å): 5.957 5.957 5.957
angles (deg): 132.06 132.06 70.13
Each line ends with the local moment (μB).
Sites, in units of the cell vectors:
1 Ca 0.000 0.000 0.000  0.09
2 Ca 0.500 0.500 0.000  0.09
3 Zr 0.750 0.250 0.500  1.08
4 Cd 0.250 0.750 0.500  0.01

## Properties
V: 114 Å³/cell
E_tot: -3.15 eV/atom
Magnetic moment: 2.3 Bohr magnetons per cell

Entry 4:
Material: Dy6ThSc3
Method: DFT, PBE-GGA
State: relaxed

a b c (Å): 9.599 9.599 6.710
angles (deg): 44.33 44.33 60.00
Sites, in units of the cell vectors:
1 Dy 0.900 0.560 0.300
2 Dy 0.240 0.900 0.300
3 Dy 0.560 0.240 0.300
4 Dy 0.062 0.400 0.800
5 Dy 0.738 0.062 0.800
6 Dy 0.400 0.738 0.800
7 Th 0.900 0.900 0.300
8 Sc 0.400 0.400 0.801
9 Sc 0.636 0.636 0.091
10 Sc 0.163 0.163 0.511

## Properties
V: 302 Å³/cell
E_tot: -5.20 eV/atom
Magnetic moment: 0.0 Bohr magnetons per cell

Entry 5:
Material: H5S2Br2
Method: DFT, PBE-GGA
State: relaxed

a b c (Å): 4.788 9.756 10.604
angles (deg): 117.39 103.05 90.00
Each line ends with the local moment (μB).
Sites, in units of the cell vectors:
1 H 0.302 0.610 0.931  0.00
2 H 0.698 0.679 0.069  0.00
3 H 0.130 0.110 0.931  0.00
4 H 0.870 0.179 0.069  0.00
5 H 0.332 0.196 0.388  0.00
6 H 0.668 0.808 0.612  0.00
7 H 0.556 0.696 0.388  0.00
8 H 0.444 0.308 0.612  0.00
9 H 0.618 0.568 0.500  0.00
10 H 0.382 0.068 0.500  0.00
11 S 0.000 0.051 0.000  0.32
12 S 0.500 0.551 0.000  0.32
13 S 0.224 0.183 0.500  0.00
14 S 0.776 0.683 0.500  0.00
15 Br 0.245 0.749 0.257  0.20
16 Br 0.755 0.492 0.743  0.20
17 Br 0.512 0.249 0.257  0.20
18 Br 0.488 0.992 0.743  0.20

## Properties
V: 425 Å³/cell
E_tot: -3.26 eV/atom
Magnetic moment: 2.0 Bohr magnetons per cell

Entry 6:
Material: Ba2Mg3AgPb4
Method: DFT, PBE-GGA
State: relaxed

a b c (Å): 5.001 5.001 12.322
angles (deg): 90.00 90.00 90.00
Sites, in units of the cell vectors:
1 Ba 0.500 0.000 0.261
2 Ba 0.000 0.500 0.739
3 Mg 0.000 0.000 0.500
4 Mg 0.500 0.000 0.862
5 Mg 0.000 0.500 0.138
6 Ag 0.500 0.500 0.500
7 Pb 0.500 0.500 0.000
8 Pb 0.000 0.000 0.000
9 Pb 0.500 0.000 0.629
10 Pb 0.000 0.500 0.371

## Properties
V: 308 Å³/cell
E_tot: -2.96 eV/atom
Magnetic moment: 0.0 Bohr magnetons per cell

Entry 7:
Material: PrPuAu3
Method: DFT, PBE-GGA
State: relaxed

a b c (Å): 3.656 4.676 14.357
angles (deg): 90.00 97.31 90.00
Each line ends with the local moment (μB).
Sites, in units of the cell vectors:
1 Pr 0.927 0.750 0.854  0.02
2 Pr 0.073 0.250 0.146  0.02
3 Pu 0.211 0.750 0.421  5.40
4 Pu 0.789 0.250 0.579  5.40
5 Au 0.622 0.750 0.244  0.01
6 Au 0.378 0.250 0.756  0.01
7 Au 0.525 0.750 0.050  0.01
8 Au 0.475 0.250 0.950  0.01
9 Au 0.680 0.250 0.359  0.02
10 Au 0.320 0.750 0.641  0.02

## Properties
V: 243 Å³/cell
E_tot: -6.39 eV/atom
Magnetic moment: 11.7 Bohr magnetons per cell

Entry 8:
Material: AgPtSe
Method: DFT, PBE-GGA
State: relaxed

a b c (Å): 4.425 4.425 4.425
angles (deg): 60.00 60.00 60.00
Sites, in units of the cell vectors:
1 Ag 0.500 0.500 0.500
2 Pt 0.750 0.750 0.750
3 Se 0.000 0.000 0.000

## Properties
Energy above the most stable polymorph in this dataset: 107 meV per atom
V: 61 Å³/cell
E_tot: -3.99 eV/atom
Magnetic moment: 0.0 Bohr magnetons per cell
Raw formation energy: 13 kJ/mol of atoms